The following is a DFT calculation (GGA+U) of crystalline NaFePO4 at its relaxed geometry.

Output
size of the total moment = 16.0 μB per cell
excess energy over the best structure of this formula in the dataset = 0.040 eV/atom

abc: 5.1972 6.3401 10.3366
angles: 90.00 90.00 90.00
Site moments in Bohr magnetons follow the coordinates.
Fractional coordinates of all 28 atoms:
1 Na 0.5000 0.0000 0.5000  0.00
2 Na 0.0000 0.5000 0.0000  0.00
3 Na 0.5000 0.5000 0.5000  0.00
4 Na 0.0000 0.0000 0.0000  0.00
5 Fe 0.5077 0.2500 0.8374  3.77
6 Fe 0.9923 0.2500 0.3374  3.77
7 Fe 0.4923 0.7500 0.1626  3.77
8 Fe 0.0077 0.7500 0.6626  3.77
9 P 0.9832 0.7500 0.3157  0.01
10 P 0.5168 0.7500 0.8157  0.01
11 P 0.0168 0.2500 0.6843  0.01
12 P 0.4832 0.2500 0.1843  0.01
13 O 0.8958 0.7500 0.1697  0.03
14 O 0.6042 0.7500 0.6696  0.03
15 O 0.1041 0.2500 0.8303  0.03
16 O 0.3958 0.2500 0.3303  0.03
17 O 0.2810 0.7500 0.3303  0.03
18 O 0.2190 0.7500 0.8303  0.03
19 O 0.7190 0.2500 0.6697  0.03
20 O 0.7810 0.2500 0.1697  0.03
21 O 0.8730 0.9498 0.3829  0.03
22 O 0.6270 0.5502 0.8829  0.03
23 O 0.1270 0.4498 0.6171  0.03
24 O 0.3730 0.0503 0.1171  0.03
25 O 0.1270 0.0502 0.6171  0.03
26 O 0.3730 0.4498 0.1171  0.03
27 O 0.8730 0.5502 0.3829  0.03
28 O 0.6270 0.9497 0.8829  0.03